(1)
Here is crystalline Zr6SCl12 at its relaxed geometry from Alexandria. Energies are from PBE-GGA.

Cell: 8.663 8.663 8.663 Å, 107.27 107.27 107.27°
Fractional positions:
Zr 0.185 0.438 0.438
Zr 0.438 0.185 0.438
Zr 0.438 0.438 0.185
Zr 0.562 0.562 0.815
Zr 0.562 0.815 0.562
Zr 0.815 0.562 0.562
S 0.500 0.500 0.500
Cl 0.000 0.384 0.616
Cl 0.000 0.616 0.384
Cl 0.103 0.103 0.342
Cl 0.103 0.342 0.103
Cl 0.342 0.103 0.103
Cl 0.384 0.000 0.616
Cl 0.384 0.616 0.000
Cl 0.616 0.000 0.384
Cl 0.616 0.384 0.000
Cl 0.658 0.897 0.897
Cl 0.897 0.658 0.897
Cl 0.897 0.897 0.658

Calculated volume ... 28.3 A^3/atom
Magnetization ... 1.74 μB per cell
VASP energy ... -104.61 eV/cell
Density ... 3.1 g/cm3

***

(2)
Here is crystalline ZrSCl2 at its relaxed geometry from Alexandria. Energies are from PBE-GGA.

Cell: 7.081 7.081 7.081 Å, 96.84 96.84 139.61°
Fractional positions:
Zr 0.000 0.000 0.000
Zr 0.750 0.250 0.500
S 0.250 0.750 0.500
S 0.500 0.500 0.000
Cl 0.375 0.228 0.353
Cl 0.772 0.125 0.147
Cl 0.875 0.022 0.647
Cl 0.978 0.625 0.853

Calculated volume ... 27.0 A^3/atom
Magnetization ... 0.00 μB per cell
VASP energy ... -43.24 eV/cell
Density ... 3.0 g/cm3

***

(3)
Here is crystalline ZrS2Cl8 at its relaxed geometry from Alexandria. Energies are from PBE-GGA.

Cell: 7.149 7.149 8.881 Å, 102.43 102.43 107.47°
Fractional positions:
Zr 0.000 0.000 0.000
S 0.078 0.078 0.434
S 0.922 0.922 0.566
Cl 0.068 0.765 0.159
Cl 0.235 0.932 0.841
Cl 0.286 0.286 0.214
Cl 0.298 0.298 0.624
Cl 0.702 0.702 0.376
Cl 0.714 0.714 0.786
Cl 0.765 0.068 0.159
Cl 0.932 0.235 0.841

Calculated volume ... 36.7 A^3/atom
Magnetization ... 0.00 μB per cell
VASP energy ... -40.25 eV/cell
Density ... 1.8 g/cm3

***

(4)
Here is crystalline ZrS6Cl12 at its relaxed geometry from Alexandria. Energies are from PBE-GGA.

Cell: 13.195 13.195 13.195 Å, 33.30 33.30 33.30°
Fractional positions:
Zr 0.000 0.000 0.000
S 0.112 0.436 0.218
S 0.218 0.112 0.436
S 0.436 0.218 0.112
S 0.564 0.782 0.888
S 0.782 0.888 0.564
S 0.888 0.564 0.782
Cl 0.121 0.529 0.724
Cl 0.134 0.733 0.248
Cl 0.248 0.134 0.733
Cl 0.267 0.752 0.866
Cl 0.276 0.879 0.471
Cl 0.471 0.276 0.879
Cl 0.529 0.724 0.121
Cl 0.724 0.121 0.529
Cl 0.733 0.248 0.134
Cl 0.752 0.866 0.267
Cl 0.866 0.267 0.752
Cl 0.879 0.471 0.276

Calculated volume ... 32.4 A^3/atom
Magnetization ... 0.00 μB per cell
VASP energy ... -63.64 eV/cell
Density ... 1.9 g/cm3

***

(5)
Here is crystalline ZrSCl2 at its relaxed geometry from Alexandria. Energies are from PBE-GGA.

Cell: 12.763 12.763 12.763 Å, 15.27 15.27 15.27°
Fractional positions:
Zr 0.000 0.000 0.000
S 0.500 0.500 0.500
Cl 0.062 0.062 0.062
Cl 0.938 0.938 0.938

Calculated volume ... 31.4 A^3/atom
Magnetization ... 1.59 μB per cell
VASP energy ... -16.68 eV/cell
Density ... 2.6 g/cm3

***

(6)
Here is crystalline ZrSCl3 at its relaxed geometry from Alexandria. Energies are from PBE-GGA.

Cell: 7.134 7.247 12.719 Å, 90.00 96.95 90.00°
Fractional positions:
Zr 0.091 0.136 0.135
Zr 0.091 0.864 0.635
Zr 0.909 0.136 0.365
Zr 0.909 0.864 0.865
S 0.127 0.379 0.298
S 0.127 0.621 0.798
S 0.873 0.379 0.202
S 0.873 0.621 0.702
Cl 0.144 0.169 0.535
Cl 0.144 0.831 0.035
Cl 0.222 0.055 0.791
Cl 0.222 0.945 0.291
Cl 0.337 0.294 0.066
Cl 0.337 0.706 0.566
Cl 0.663 0.294 0.434
Cl 0.663 0.706 0.934
Cl 0.778 0.055 0.709
Cl 0.778 0.945 0.209
Cl 0.856 0.169 0.965
Cl 0.856 0.831 0.465

Calculated volume ... 32.6 A^3/atom
Magnetization ... 0.00 μB per cell
VASP energy ... -103.57 eV/cell
Density ... 2.3 g/cm3

***

(7)
Here is crystalline ZrS2Cl5 at its relaxed geometry from Alexandria. Energies are from PBE-GGA.

Cell: 6.878 7.454 7.697 Å, 72.05 74.14 67.17°
Fractional positions:
Zr 0.000 0.000 0.000
S 0.172 0.502 0.445
S 0.394 0.455 0.569
Cl 0.063 0.073 0.253
Cl 0.270 0.601 0.142
Cl 0.282 0.919 0.748
Cl 0.732 0.852 0.078
Cl 0.812 0.327 0.849

Calculated volume ... 42.6 A^3/atom
Magnetization ... 1.00 μB per cell
VASP energy ... -34.47 eV/cell
Density ... 1.6 g/cm3

***

(8)
Here is crystalline ZrSCl2 at its relaxed geometry from Alexandria. Energies are from PBE-GGA.

Cell: 11.311 11.311 11.311 Å, 16.34 16.34 16.34°
Fractional positions:
Zr 0.000 0.000 0.000
S 0.500 0.500 0.500
Cl 0.388 0.388 0.388
Cl 0.612 0.612 0.612

Calculated volume ... 25.0 A^3/atom
Magnetization ... 0.33 μB per cell
VASP energy ... -18.95 eV/cell
Density ... 3.2 g/cm3

***

What is the formula in the third record? ZrS2Cl8